1.
Density functional theory data (GGA-PBE) for a relaxed TmSbN2O crystal.

a = 8.078 Å, b = 7.675 Å, c = 11.194 Å
α = 90.00°, β = 133.68°, γ = 90.00°
Space group P2_1/c (No. 14)
Inequivalent atoms, fractional coordinates:
Tm: 0.147 0.012 0.211 (multiplicity 4)
Tm: 0.216 0.001 0.732 (multiplicity 4)
Sb: 0.293 0.250 0.029 (multiplicity 4)
Sb: 0.294 0.740 0.014 (multiplicity 4)
N: 0.168 0.003 0.484 (multiplicity 4)
N: 0.265 0.503 0.464 (multiplicity 4)
N: 0.394 0.229 0.254 (multiplicity 4)
N: 0.395 0.709 0.888 (multiplicity 4)
O: 0.047 0.692 0.531 (multiplicity 4)
O: 0.051 0.239 0.760 (multiplicity 4)

Properties
magnetic moment = 0.006 μB per cell
raw total energy = -7.00 eV per atom


2.
Density functional theory data (GGA-PBE) for a relaxed ZnCuMoAs crystal.

a = 6.318 Å, b = 6.318 Å, c = 6.318 Å
α = 90.00°, β = 90.00°, γ = 90.00°
Space group F-43m (No. 216)
Inequivalent atoms, fractional coordinates:
Zn: 0.000 0.000 0.000 (multiplicity 4)
Cu: 0.000 0.000 0.500 (multiplicity 4)
Mo: 0.250 0.250 0.750 (multiplicity 4)
As: 0.250 0.250 0.250 (multiplicity 4)

Properties
magnetic moment = 10.819 μB per cell
ΔE to the lowest computed polymorph = 0.336 eV/atom


3.
Density functional theory data (GGA-PBE) for a relaxed Ho6GePd2 crystal.

a = 7.7956 Å, b = 7.7956 Å, c = 4.3089 Å
α = 90.00°, β = 90.00°, γ = 120.00°
Space group P-62m (No. 189)
Inequivalent atoms, fractional coordinates:
Ho: 0.0000 0.3990 0.0000 (multiplicity 3)
Ho: 0.0000 0.7353 0.5000 (multiplicity 3)
Ge: 0.0000 0.0000 0.0000 (multiplicity 1)
Pd: 0.3333 0.6667 0.5000 (multiplicity 2)

Properties
magnetic moment = 0.096 μB per cell
raw total energy = -5.28 eV per atom


4.
Density functional theory data (GGA-PBE) for a relaxed BeCoHgAs crystal.

a = 6.202 Å, b = 6.202 Å, c = 6.202 Å
α = 90.00°, β = 90.00°, γ = 90.00°
Space group F-43m (No. 216)
Inequivalent atoms, fractional coordinates:
Be: 0.000 0.000 0.000 (multiplicity 4)
Co: 0.250 0.250 0.750 (multiplicity 4)
Hg: 0.250 0.250 0.250 (multiplicity 4)
As: 0.000 0.000 0.500 (multiplicity 4)

Properties
magnetic moment = 0.045 μB per cell
ΔE to the lowest computed polymorph = 0.120 eV/atom